Compound: Sr2AcMoN4
Source: the Alexandria database
Functional: PBE
Structure: optimized geometry

Computed properties:
- Space-group type: No. 31
- ΔE_f (raw): -0.86 eV per atom
- E_tot: -117.041 eV per cell

abc: 7.842 7.221 5.756
angles: 90.00 90.00 90.00
Sites, in units of the cell vectors:
Sr: 0.249 0.153 0.000
Sr: 0.251 0.847 0.500
Sr: 0.749 0.847 0.500
Sr: 0.751 0.153 0.000
Ac: 0.000 0.363 0.506
Ac: 0.500 0.637 0.006
Mo: 0.000 0.668 0.034
Mo: 0.500 0.332 0.534
N: 0.000 0.407 0.967
N: 0.000 0.675 0.359
N: 0.205 0.790 0.943
N: 0.295 0.210 0.443
N: 0.500 0.325 0.859
N: 0.500 0.593 0.467
N: 0.705 0.210 0.443
N: 0.795 0.790 0.943



Compound: SrAc2MoN4
Source: the Alexandria database
Functional: PBE
Structure: optimized geometry

Computed properties:
- Space-group type: No. 63
- ΔE_f (raw): -0.75 eV per atom
- E_tot: -120.093 eV per cell

abc: 6.668 6.668 13.129
angles: 90.00 90.00 147.70
Sites, in units of the cell vectors:
Sr: 0.097 0.903 0.750
Sr: 0.903 0.097 0.250
Ac: 0.368 0.632 0.540
Ac: 0.368 0.632 0.960
Ac: 0.632 0.368 0.040
Ac: 0.632 0.368 0.460
Mo: 0.178 0.822 0.250
Mo: 0.822 0.178 0.750
N: 0.000 0.000 0.000
N: 0.000 0.000 0.500
N: 0.267 0.733 0.135
N: 0.267 0.733 0.365
N: 0.393 0.607 0.750
N: 0.607 0.393 0.250
N: 0.733 0.267 0.635
N: 0.733 0.267 0.865



Compound: Ac2TaMo2N6
Source: the Alexandria database
Functional: PBE
Structure: optimized geometry

Computed properties:
- Space-group type: No. 166
- ΔE_f (raw): -0.73 eV per atom
- E_tot: -99.716 eV per cell

abc: 6.552 6.552 6.552
angles: 55.47 55.47 55.47
Sites, in units of the cell vectors:
Ac: 0.211 0.211 0.211
Ac: 0.789 0.789 0.789
Ta: 0.000 0.000 0.000
Mo: 0.429 0.429 0.429
Mo: 0.571 0.571 0.571
N: 0.233 0.233 0.767
N: 0.233 0.767 0.233
N: 0.233 0.767 0.767
N: 0.767 0.233 0.233
N: 0.767 0.233 0.767
N: 0.767 0.767 0.233



Compound: AcTb2MoN4
Source: the Alexandria database
Functional: PBE
Structure: optimized geometry

Computed properties:
- Space-group type: No. 63
- ΔE_f (raw): -1.11 eV per atom
- E_tot: -132.752 eV per cell

abc: 6.337 6.337 12.028
angles: 90.00 90.00 147.85
Sites, in units of the cell vectors:
Ac: 0.084 0.916 0.750
Ac: 0.916 0.084 0.250
Tb: 0.370 0.630 0.541
Tb: 0.370 0.630 0.959
Tb: 0.630 0.370 0.041
Tb: 0.630 0.370 0.459
Mo: 0.175 0.825 0.250
Mo: 0.825 0.175 0.750
N: 0.000 0.000 0.000
N: 0.000 0.000 0.500
N: 0.262 0.738 0.118
N: 0.262 0.738 0.382
N: 0.422 0.578 0.750
N: 0.578 0.422 0.250
N: 0.738 0.262 0.618
N: 0.738 0.262 0.882



Compound: AcTh2MoN4
Source: the Alexandria database
Functional: PBE
Structure: optimized geometry

Computed properties:
- Space-group type: No. 63
- ΔE_f (raw): -1.07 eV per atom
- E_tot: -143.277 eV per cell

abc: 6.473 6.473 12.121
angles: 90.00 90.00 147.61
Sites, in units of the cell vectors:
Ac: 0.111 0.889 0.750
Ac: 0.889 0.111 0.250
Th: 0.368 0.632 0.546
Th: 0.368 0.632 0.954
Th: 0.632 0.368 0.046
Th: 0.632 0.368 0.454
Mo: 0.151 0.849 0.250
Mo: 0.849 0.151 0.750
N: 0.000 0.000 0.000
N: 0.000 0.000 0.500
N: 0.267 0.733 0.125
N: 0.267 0.733 0.375
N: 0.436 0.564 0.750
N: 0.564 0.436 0.250
N: 0.733 0.267 0.625
N: 0.733 0.267 0.875



Compound: AcThMoN4
Source: the Alexandria database
Functional: PBE
Structure: optimized geometry

Computed properties:
- Space-group type: No. 63
- ΔE_f (raw): -1.08 eV per atom
- E_tot: -126.505 eV per cell

abc: 7.136 7.136 5.645
angles: 90.00 90.00 133.50
Sites, in units of the cell vectors:
Ac: 0.105 0.895 0.750
Ac: 0.895 0.105 0.250
Th: 0.394 0.606 0.750
Th: 0.606 0.394 0.250
Mo: 0.240 0.760 0.250
Mo: 0.760 0.240 0.750
N: 0.000 0.500 0.000
N: 0.000 0.500 0.500
N: 0.087 0.913 0.250
N: 0.433 0.567 0.250
N: 0.500 0.000 0.000
N: 0.500 0.000 0.500
N: 0.567 0.433 0.750
N: 0.913 0.087 0.750



Compound: AcTh2MoN5
Source: the Alexandria database
Functional: PBE
Structure: optimized geometry

Computed properties:
- Space-group type: No. 140
- ΔE_f (raw): -1.24 eV per atom
- E_tot: -165.160 eV per cell

abc: 7.652 7.652 7.652
angles: 126.14 126.14 79.65
Sites, in units of the cell vectors:
Ac: 0.250 0.250 0.000
Ac: 0.750 0.750 0.000
Th: 0.176 0.676 0.852
Th: 0.324 0.176 0.500
Th: 0.676 0.824 0.500
Th: 0.824 0.324 0.148
Mo: 0.250 0.750 0.500
Mo: 0.750 0.250 0.500
N: 0.000 0.000 0.000
N: 0.006 0.214 0.500
N: 0.214 0.714 0.208
N: 0.286 0.494 0.500
N: 0.494 0.994 0.208
N: 0.500 0.500 0.000
N: 0.506 0.006 0.792
N: 0.714 0.506 0.500
N: 0.786 0.286 0.792
N: 0.994 0.786 0.500



Compound: Ac2TiMoN5
Source: the Alexandria database
Functional: PBE
Structure: optimized geometry

Computed properties:
- Space-group type: No. 36
- ΔE_f (raw): -1.03 eV per atom
- E_tot: -155.665 eV per cell

abc: 7.603 7.603 10.662
angles: 90.00 90.00 153.66
Sites, in units of the cell vectors:
Ac: 0.121 0.879 0.500
Ac: 0.138 0.862 0.131
Ac: 0.862 0.138 0.631
Ac: 0.879 0.121 0.000
Ti: 0.216 0.784 0.845
Ti: 0.784 0.216 0.345
Mo: 0.440 0.560 0.275
Mo: 0.560 0.440 0.775
N: 0.047 0.953 0.859
N: 0.292 0.708 0.469
N: 0.319 0.681 0.209
N: 0.340 0.660 0.826
N: 0.499 0.501 0.124
N: 0.501 0.499 0.624
N: 0.660 0.340 0.326
N: 0.681 0.319 0.709
N: 0.708 0.292 0.969
N: 0.953 0.047 0.359



Compound: Ac2TiMo2N6
Source: the Alexandria database
Functional: PBE
Structure: optimized geometry

Computed properties:
- Space-group type: No. 166
- ΔE_f (raw): -0.76 eV per atom
- E_tot: -96.076 eV per cell

abc: 6.526 6.526 6.526
angles: 55.09 55.09 55.09
Sites, in units of the cell vectors:
Ac: 0.212 0.212 0.212
Ac: 0.788 0.788 0.788
Ti: 0.000 0.000 0.000
Mo: 0.426 0.426 0.426
Mo: 0.574 0.574 0.574
N: 0.232 0.232 0.763
N: 0.232 0.763 0.232
N: 0.237 0.768 0.768
N: 0.763 0.232 0.232
N: 0.768 0.237 0.768
N: 0.768 0.768 0.237



Compound: Ac2UMoN6
Source: the Alexandria database
Functional: PBE
Structure: optimized geometry

Computed properties:
- Space-group type: No. 123
- ΔE_f (raw): -1.04 eV per atom
- E_tot: -90.680 eV per cell

abc: 4.166 4.166 8.514
angles: 90.00 90.00 90.00
Sites, in units of the cell vectors:
Ac: 0.000 0.000 0.227
Ac: 0.000 0.000 0.773
U: 0.500 0.500 0.500
Mo: 0.500 0.500 0.000
N: 0.000 0.500 0.000
N: 0.000 0.500 0.500
N: 0.500 0.000 0.000
N: 0.500 0.000 0.500
N: 0.500 0.500 0.237
N: 0.500 0.500 0.763



Compound: Ac2MoWN6
Source: the Alexandria database
Functional: PBE
Structure: optimized geometry

Computed properties:
- Space-group type: No. 99
- ΔE_f (raw): -0.90 eV per atom
- E_tot: -90.954 eV per cell

abc: 5.663 5.663 4.342
angles: 90.00 90.00 90.00
Sites, in units of the cell vectors:
Ac: 0.000 0.500 0.000
Ac: 0.500 0.000 0.000
Mo: 0.000 0.000 0.506
W: 0.500 0.500 0.510
N: 0.000 0.000 0.092
N: 0.250 0.250 0.588
N: 0.250 0.750 0.588
N: 0.500 0.500 0.088
N: 0.750 0.250 0.588
N: 0.750 0.750 0.588



Compound: AcYMo2N6
Source: the Alexandria database
Functional: PBE
Structure: optimized geometry

Computed properties:
- Space-group type: No. 15
- ΔE_f (raw): -0.93 eV per atom
- E_tot: -183.019 eV per cell

abc: 7.370 7.370 6.169
angles: 102.05 102.05 85.94
Sites, in units of the cell vectors:
Ac: 0.185 0.815 0.750
Ac: 0.815 0.185 0.250
Y: 0.414 0.586 0.250
Y: 0.586 0.414 0.750
Mo: 0.122 0.304 0.776
Mo: 0.304 0.122 0.276
Mo: 0.696 0.878 0.724
Mo: 0.878 0.696 0.224
N: 0.108 0.611 0.323
N: 0.126 0.167 0.014
N: 0.167 0.126 0.514
N: 0.291 0.493 0.862
N: 0.389 0.892 0.177
N: 0.493 0.291 0.362
N: 0.507 0.709 0.638
N: 0.611 0.108 0.823
N: 0.709 0.507 0.138
N: 0.833 0.874 0.486
N: 0.874 0.833 0.986
N: 0.892 0.389 0.677



- Which of these has the highest E_tot?
  Ac2UMoN6